(1)
A plane-wave DFT calculation with GGA-PBE was carried out for crystalline Mn2NbRh3 at its relaxed geometry.

Values from the calculation:
ΔE_f ... -0.2856 eV/atom
Total magnetization ... 18.38 Bohr magnetons per cell
Space-group type ... Cmmm

a b c (Å): 6.9980 6.9980 6.1229
angles (deg): 90.00 90.00 143.08
Fractional positions:
Mn1 0.0000 0.0000 0.0000
Mn2 0.0000 0.0000 0.5000
Mn3 0.3323 0.6677 0.0000
Mn4 0.6677 0.3323 0.0000
Nb1 0.3395 0.6605 0.5000
Nb2 0.6605 0.3395 0.5000
Rh1 0.1680 0.8320 0.2497
Rh2 0.1680 0.8320 0.7503
Rh3 0.5000 0.5000 0.2447
Rh4 0.5000 0.5000 0.7553
Rh5 0.8320 0.1680 0.2497
Rh6 0.8320 0.1680 0.7503

(2)
A plane-wave DFT calculation with GGA-PBE was carried out for crystalline Li2YCd at its relaxed geometry.

Values from the calculation:
ΔE_f ... -0.1063 eV/atom
Total magnetization ... 0.25 Bohr magnetons per cell
Space-group type ... P4mm

a b c (Å): 3.5128 3.5128 7.3825
angles (deg): 90.00 90.00 90.00
Fractional positions:
Li1 0.0000 0.0000 0.0000
Li2 0.5000 0.5000 0.2064
Y1 0.0000 0.0000 0.5164
Cd1 0.5000 0.5000 0.7935

(3)
A plane-wave DFT calculation with GGA-PBE was carried out for crystalline Pr2WN5 at its relaxed geometry.

Values from the calculation:
Total magnetization ... 1.79 Bohr magnetons per cell
Space-group type ... Cmcm
Uncorrected formation energy ... -0.592 eV/atom

a b c (Å): 6.5486 6.5486 10.3798
angles (deg): 90.00 90.00 141.87
Fractional positions:
Pr1 0.1393 0.8608 0.5594
Pr2 0.1393 0.8608 0.9406
Pr3 0.8608 0.1393 0.0594
Pr4 0.8608 0.1393 0.4406
W1 0.2181 0.7819 0.2500
W2 0.7819 0.2181 0.7500
N1 0.0570 0.9430 0.1847
N2 0.0570 0.9430 0.3153
N3 0.2637 0.7363 0.7500
N4 0.2946 0.7054 0.0884
N5 0.2946 0.7054 0.4116
N6 0.7054 0.2946 0.5884
N7 0.7054 0.2946 0.9116
N8 0.7363 0.2637 0.2500
N9 0.9430 0.0570 0.6847
N10 0.9430 0.0570 0.8153